No. 1
## CrIr2W (GGA-PBEsol)

Data for crystalline CrIr2W at its relaxed geometry.

```
CrIr2W
1.0
2.720 0.000 0.000
0.000 4.311 0.000
0.000 0.000 4.708
Cr Ir W
1 2 1
Direct
0.000 0.000 0.000
0.500 0.000 0.501
0.500 0.500 0.855
0.000 0.500 0.337
```

Values from the calculation:
Polymorph energy (0 for the lowest one) ... 0.000 eV per formula unit
Symmetry ... Pmm2

No. 2
## GeTe2Ir (GGA-PBEsol)

Data for crystalline GeTe2Ir at its relaxed geometry.

```
GeTe2Ir
1.0
1.925 1.112 8.635
-1.925 1.112 8.635
0.000 -2.223 8.635
Ge Te Ir
1 2 1
Direct
0.000 0.000 0.000
0.113 0.113 0.113
0.887 0.887 0.887
0.500 0.500 0.500
```

Values from the calculation:
Symmetry ... R-3m
Formation energy without anion corrections ... 184 meV/atom

No. 3
## CaSbP2 (GGA-PBEsol)

Data for crystalline CaSbP2 at its relaxed geometry.

```
CaSbP2
1.0
5.331 -1.655 0.000
5.331 1.655 0.000
-2.719 0.000 5.153
Ca Sb P
1 1 2
Direct
0.000 0.000 0.000
0.500 0.500 0.500
0.239 0.239 0.858
0.761 0.761 0.142
```

Values from the calculation:
Symmetry ... C2/m
Formation energy without anion corrections ... -358 meV/atom

| no. | theoretical density (Mg/m³) | density of states at the Fermi level (states/eV per atom) | final energy (eV/atom) |
| --- | --- | --- | --- |
| 1 | 18.7 | 0.824 | -11.17 |
| 2 | 7.8 | 0.840 | -5.27 |
| 3 | 4.1 | 0.281 | -4.93 |